YScCd2Mo: optimized geometry, PBE-GGA.

CIF file:
```
data_YScCd2Mo
_chemical_formula_sum 'Y1 Sc1 Cd2 Mo1'
_cell_length_a 5.336
_cell_length_b 5.336
_cell_length_c 5.292
_cell_angle_alpha 90.00
_cell_angle_beta 90.00
_cell_angle_gamma 90.00
_space_group_name_H-M_alt 'P 4/m m m'
_space_group_IT_number 123
_space_group_name_Hall '-P 4 2'
loop_
_atom_site_label
_atom_site_type_symbol
_atom_site_fract_x
_atom_site_fract_y
_atom_site_fract_z
_atom_site_occupancy
Y1 Y 0.000 0.000 0.000 1
Sc1 Sc 0.000 0.000 0.500 1
Cd1 Cd 0.000 0.500 0.500 1
Mo1 Mo 0.500 0.500 0.000 1
```

The electronic total energy comes out at -3.68 eV/atom.